This record from Alexandria via LeMat-Bulk describes an optimized crystal structure of Ni2SbMoO6. The functional is PBE+U.

It has space group P1 (No. 1), with a = 5.303 Å, b = 5.348 Å, c = 5.676 Å, α = 62.69°, β = 63.28° and γ = 60.66°. The distinct sites, in fractional coordinates, are Ni at (0.000, 0.000, 0.000), Ni at (0.493, 0.509, 0.488), Sb at (0.731, 0.692, 0.857), Mo at (0.207, 0.206, 0.392), O at (0.116, 0.801, 0.688), O at (0.252, 0.598, 0.220), O at (0.359, 0.149, 0.684), O at (0.568, 0.939, 0.223), O at (0.800, 0.375, 0.688) and O at (0.905, 0.312, 0.188).

The calculation puts the spin magnetization at 5.0 μB per formula unit. As for the theoretical density: 6.00 Mg/m³. The raw total energy is -5.861 eV/atom.

This record from Alexandria via LeMat-Bulk describes an optimized crystal structure of NiSb2MoO. The functional is PBE+U.

It has space group P4/mmm (No. 123), with a = 4.891 Å, b = 4.891 Å, c = 3.876 Å, α = 90.00°, β = 90.00° and γ = 90.00°. The distinct sites, in fractional coordinates, are Ni at (0.000, 0.000, 0.000), Sb at (0.000, 0.500, 0.500), Mo at (0.500, 0.500, 0.000) and O at (0.000, 0.000, 0.500).

The calculation puts the spin magnetization at 4.1 μB per formula unit. As for the theoretical density: 7.42 Mg/m³. The raw total energy is -4.349 eV/atom.

This record from Alexandria via LeMat-Bulk describes an optimized crystal structure of NiMoSeO2. The functional is PBE+U.

It has space group P4/mmm (No. 123), with a = 3.952 Å, b = 3.952 Å, c = 5.201 Å, α = 90.00°, β = 90.00° and γ = 90.00°. The distinct sites, in fractional coordinates, are Ni at (0.000, 0.000, 0.000), Mo at (0.500, 0.500, 0.000), Se at (0.500, 0.500, 0.500) and O at (0.000, 0.500, 0.500).

The calculation puts the spin magnetization at 3.8 μB per formula unit. As for the theoretical density: 5.43 Mg/m³. The raw total energy is -3.865 eV/atom.

This record from Alexandria via LeMat-Bulk describes an optimized crystal structure of Si2NiMoO. The functional is PBE+U.

It has space group P4/mmm (No. 123), with a = 4.747 Å, b = 4.747 Å, c = 4.524 Å, α = 90.00°, β = 90.00° and γ = 90.00°. The distinct sites, in fractional coordinates, are Si at (0.000, 0.500, 0.000), Ni at (0.000, 0.000, 0.500), Mo at (0.000, 0.000, 0.000) and O at (0.500, 0.500, 0.500).

The calculation puts the spin magnetization at 2.7 μB per formula unit. As for the theoretical density: 3.69 Mg/m³. The raw total energy is -3.289 eV/atom.